Entry 1:
Here is an optimized crystal structure of Zr2CdAu from Alexandria. Energies are from PBEsol.

Cell: 3.030 5.228 5.228 Å, 109.90 90.00 90.00°
Sites, in units of the cell vectors:
Au: 0.500 0.000 0.000
Zr: 0.000 0.500 0.000
Zr: 0.000 0.000 0.500
Cd: 0.500 0.500 0.500

Its total energy is -6.15 eV per atom. As for the calculated formation energy: -324 meV per atom. As for the symmetry: No. 65. The total magnetization comes out at 0.001 Bohr magnetons per cell.

=====

Entry 2:
Here is an optimized crystal structure of BeReCl2 from Alexandria. Energies are from PBEsol.

Cell: 2.889 3.043 8.737 Å, 90.00 90.00 118.34°
Sites, in units of the cell vectors:
Re: 0.000 0.000 0.522
Be: 0.500 0.000 0.755
Cl: 0.000 0.000 0.914
Cl: 0.500 0.000 0.309

Its total energy is -5.29 eV per atom. For the energy relative to the lowest polymorph listed for this composition, the calculation gives 0 meV/atom. As for the symmetry: No. 35. The total magnetization comes out at 0.004 Bohr magnetons per cell.

=====

Entry 3:
Here is an optimized crystal structure of Mn2RhSe from Alexandria. Energies are from PBEsol.

Cell: 3.189 3.189 5.548 Å, 90.00 89.99 90.00°
Sites, in units of the cell vectors:
Mn: 0.000 0.000 0.748
Mn: 0.000 0.000 0.252
Rh: 0.500 0.500 0.000
Se: 0.500 0.500 0.500

Its total energy is -7.79 eV per atom. As for the symmetry: No. 123. The total magnetization comes out at 7.703 Bohr magnetons per cell.

=====

Entry 4:
Here is an optimized crystal structure of Al2InS from Alexandria. Energies are from PBEsol.

Cell: 4.726 4.726 4.726 Å, 60.00 60.00 60.00°
Sites, in units of the cell vectors:
S: 0.000 0.000 0.000
Al: 0.250 0.250 0.250
Al: 0.750 0.750 0.750
In: 0.500 0.500 0.500

Its total energy is -3.70 eV per atom. As for the symmetry: No. 225. The total magnetization comes out at 0.000 Bohr magnetons per cell.